## TiMnCrB (PBE)

Data for TiMnCrB after structural relaxation.

**DFT formation energy**: 47 meV per atom
**SG**: P1 (1)
**Energy relative to the lowest polymorph listed for this composition**: 0.163 eV/atom
**ρ**: 5892 kg/m³

Cell and atoms, written as POSCAR:
```
TiMnCrB
1.0
2.8302 -0.0028 -0.0037
1.3684 2.5513 0.0004
0.3765 0.4950 6.4602
Cr B Mn Ti
1 1 1 1
Direct
0.7795 0.2497 0.7473
0.9496 0.3096 0.3042
0.6106 0.9392 0.4657
0.2908 0.6979 0.0769
```

=====

## LaAgO2 (PBE)

Data for LaAgO2 after structural relaxation.

**Formation energy without anion corrections**: -0.825 eV/atom
**SG**: R-3m (166)
**ρ**: 5343 kg/m³

Cell and atoms, written as POSCAR:
```
LaAgO2
1.0
2.3297 0.0000 6.1440
-1.1648 2.0176 6.1440
-1.1648 -2.0176 6.1440
O Ag La
2 1 1
Direct
0.8894 0.8894 0.8894
0.1106 0.1106 0.1106
0.5000 0.5000 0.5000
0.0000 0.0000 0.0000
```

=====

## RbAg2ClF2 (PBE)

Data for RbAg2ClF2 after structural relaxation.

**Formation energy without anion corrections**: -1.313 eV/atom
**SG**: P2_1/m (11)
**ρ**: 4391 kg/m³

Cell and atoms, written as POSCAR:
```
RbAg2ClF2
1.0
5.8927 0.0000 0.0000
0.0000 5.1433 -0.7964
0.0000 -3.0652 9.8234
Rb Ag Cl F
2 4 2 4
Direct
0.7500 0.3434 0.5700
0.2500 0.6566 0.4300
0.5005 0.9722 0.1410
0.9995 0.9722 0.1410
0.0005 0.0278 0.8590
0.4995 0.0278 0.8590
0.2500 0.3717 0.0650
0.7500 0.6283 0.9350
0.2500 0.0712 0.3329
0.2500 0.6635 0.6927
0.7500 0.9288 0.6671
0.7500 0.3365 0.3073
```

=====

## K3Cu (PBE)

Data for K3Cu after structural relaxation.

**DFT formation energy**: 340 meV per atom
**SG**: Pm-3n (223)
**ρ**: 1666 kg/m³

Cell and atoms, written as POSCAR:
```
K3Cu
1.0
7.1166 0.0000 0.0000
0.0000 7.1166 0.0000
0.0000 0.0000 7.1166
K Cu
6 2
Direct
0.7500 0.5000 0.0000
0.2500 0.5000 0.0000
0.0000 0.7500 0.5000
0.0000 0.2500 0.5000
0.5000 0.0000 0.2500
0.5000 0.0000 0.7500
0.0000 0.0000 0.0000
0.5000 0.5000 0.5000
```